## Sr2CaRhI (GGA-PBE)

Data for Sr2CaRhI after structural relaxation.

Results
* space group: P4/mmm
* ΔE_f (raw): -0.497 eV per atom

abc: 5.9345 5.9345 5.4773
angles: 90.00 90.00 90.00
Closest atoms and distances in Å follow each position.
Sites, in units of the cell vectors:
Sr (0.0000, 0.5000, 0.0000)  2 Rh 2.97
Sr (0.5000, 0.0000, 0.0000)  2 Rh 2.97
Ca (0.0000, 0.0000, 0.5000)  2 Rh 2.74
Rh (0.0000, 0.0000, 0.0000)  2 Ca 2.74, 4 Sr 2.97
I (0.5000, 0.5000, 0.5000)  8 Sr 4.04, 4 Ca 4.20

---

## SrCa2RhI (GGA-PBE)

Data for SrCa2RhI after structural relaxation.

Results
* space group: P4/mmm
* ΔE_f (raw): -0.501 eV per atom

abc: 5.5211 5.5211 5.9775
angles: 90.00 90.00 90.00
Closest atoms and distances in Å follow each position.
Sites, in units of the cell vectors:
Sr (0.0000, 0.0000, 0.0000)  2 Rh 2.99
Ca (0.0000, 0.5000, 0.5000)  2 Rh 2.76
Ca (0.5000, 0.0000, 0.5000)  2 Rh 2.76
Rh (0.0000, 0.0000, 0.5000)  4 Ca 2.76, 2 Sr 2.99
I (0.5000, 0.5000, 0.0000)  4 Sr 3.90, 8 Ca 4.07

---

## CaTeRhI2 (GGA-PBE)

Data for CaTeRhI2 after structural relaxation.

Results
* space group: P4/mmm
* ΔE to the lowest computed polymorph: 0.7572 eV per atom
* ΔE_f (raw): 0.324 eV per atom

abc: 5.9487 5.9487 6.0746
angles: 90.00 90.00 90.00
Closest atoms and distances in Å follow each position.
Sites, in units of the cell vectors:
Ca (0.0000, 0.0000, 0.0000)  4 I 2.97, 2 Te 3.04
Te (0.0000, 0.0000, 0.5000)  2 Ca 3.04
Rh (0.5000, 0.5000, 0.5000)  4 Te 4.21, 8 I 4.25
I (0.0000, 0.5000, 0.0000)  2 Ca 2.97
I (0.5000, 0.0000, 0.0000)  2 Ca 2.97

---

## CaTeRhI2 (GGA-PBE)

Data for CaTeRhI2 after structural relaxation.

Results
* space group: P4/mmm
* ΔE to the lowest computed polymorph: 0.0000 eV per atom
* ΔE_f (raw): -0.433 eV per atom

abc: 5.3585 5.3585 5.4869
angles: 90.00 90.00 90.00
Closest atoms and distances in Å follow each position.
Sites, in units of the cell vectors:
Ca (0.0000, 0.0000, 0.0000)  4 Te 3.79, 8 I 3.83
Te (0.5000, 0.5000, 0.0000)  2 Rh 2.74
Rh (0.5000, 0.5000, 0.5000)  4 I 2.68, 2 Te 2.74
I (0.0000, 0.5000, 0.5000)  2 Rh 2.68
I (0.5000, 0.0000, 0.5000)  2 Rh 2.68

---

## CaTeRh2I (GGA-PBE)

Data for CaTeRh2I after structural relaxation.

Results
* space group: P4/mmm
* ΔE_f (raw): 1.023 eV per atom

abc: 5.0308 5.0308 5.5829
angles: 90.00 90.00 90.00
Closest atoms and distances in Å follow each position.
Sites, in units of the cell vectors:
Ca (0.0000, 0.0000, 0.0000)  4 Rh 2.52, 2 I 2.79
Te (0.5000, 0.5000, 0.5000)  4 I 3.56, 8 Rh 3.76
Rh (0.0000, 0.5000, 0.0000)  2 Ca 2.52
Rh (0.5000, 0.0000, 0.0000)  2 Ca 2.52
I (0.0000, 0.0000, 0.5000)  2 Ca 2.79

---

## CaTl2RhI (GGA-PBE)

Data for CaTl2RhI after structural relaxation.

Results
* space group: P4/mmm
* ΔE_f (raw): -0.470 eV per atom

abc: 5.3168 5.3168 5.5150
angles: 90.00 90.00 90.00
Closest atoms and distances in Å follow each position.
Sites, in units of the cell vectors:
Ca (0.0000, 0.0000, 0.0000)  2 Rh 2.76
Tl (0.0000, 0.5000, 0.5000)  2 Rh 2.66
Tl (0.5000, 0.0000, 0.5000)  2 Rh 2.66
Rh (0.0000, 0.0000, 0.5000)  4 Tl 2.66, 2 Ca 2.76
I (0.5000, 0.5000, 0.0000)  4 Ca 3.76, 8 Tl 3.83

---

## Ca2YRhI (GGA-PBE)

Data for Ca2YRhI after structural relaxation.

Results
* space group: P4/mmm
* ΔE_f (raw): 0.354 eV per atom

abc: 6.6313 6.6313 4.7956
angles: 90.00 90.00 90.00
Closest atoms and distances in Å follow each position.
Sites, in units of the cell vectors:
Ca (0.0000, 0.5000, 0.0000)  2 Y 3.32
Ca (0.5000, 0.0000, 0.0000)  2 Y 3.32
Y (0.0000, 0.0000, 0.0000)  2 Rh 2.40
Rh (0.0000, 0.0000, 0.5000)  2 Y 2.40
I (0.5000, 0.5000, 0.5000)  8 Ca 4.09

---

## CaRuI3 (GGA-PBE)

Data for CaRuI3 after structural relaxation.

Results
* space group: Pm-3m
* ΔE to the lowest computed polymorph: 0.0000 eV per atom
* ΔE_f (raw): -0.217 eV per atom

abc: 5.4184 5.4184 5.4184
angles: 90.00 90.00 90.00
Closest atoms and distances in Å follow each position.
Sites, in units of the cell vectors:
Ca (0.0000, 0.0000, 0.0000)  12 I 3.83
Ru (0.5000, 0.5000, 0.5000)  6 I 2.71
I (0.0000, 0.5000, 0.5000)  2 Ru 2.71
I (0.5000, 0.0000, 0.5000)  2 Ru 2.71
I (0.5000, 0.5000, 0.0000)  2 Ru 2.71